Model a:
Computed, not measured: a geometry-optimized Th3GeBi2 structure at the GGA-PBE level of DFT.

DOS(E_F) (states/eV/f.u.): 4.0
Total magnetic moment (μB per formula unit): 0.000
Volume (Å³/f.u.): 193

Lattice parameters (Å, degrees): 14.834 14.144 7.818 79.29 69.52 31.19
Atoms (fractional coordinates):
Th 0.039 0.535 0.188
Th 0.099 0.651 0.651
Th 0.188 0.738 0.039
Th 0.262 0.812 0.465
Th 0.349 0.901 0.901
Th 0.465 0.961 0.262
Th 0.535 0.039 0.738
Th 0.651 0.099 0.099
Th 0.738 0.188 0.535
Th 0.812 0.262 0.961
Th 0.901 0.349 0.349
Th 0.961 0.465 0.812
Ge 0.041 0.041 0.209
Ge 0.209 0.209 0.041
Ge 0.791 0.791 0.959
Ge 0.959 0.959 0.791
Bi 0.129 0.129 0.621
Bi 0.295 0.295 0.455
Bi 0.379 0.379 0.871
Bi 0.455 0.455 0.295
Bi 0.545 0.545 0.705
Bi 0.621 0.621 0.129
Bi 0.705 0.705 0.545
Bi 0.871 0.871 0.379

---

Model b:
Computed, not measured: a geometry-optimized Th3GeBi2 structure at the GGA-PBE level of DFT.

DOS(E_F) (states/eV/f.u.): 3.8
Total magnetic moment (μB per formula unit): 0.000
Volume (Å³/f.u.): 194

Lattice parameters (Å, degrees): 7.801 7.801 7.727 99.71 99.71 119.18
Atoms (fractional coordinates):
Th 0.000 0.500 0.000
Th 0.142 0.290 0.493
Th 0.290 0.142 0.993
Th 0.500 0.000 0.500
Th 0.710 0.858 0.007
Th 0.858 0.710 0.507
Ge 0.091 0.909 0.250
Ge 0.909 0.091 0.750
Bi 0.261 0.739 0.750
Bi 0.420 0.580 0.250
Bi 0.580 0.420 0.750
Bi 0.739 0.261 0.250

---

Winner for stability: model a

---

Model a:
Computed, not measured: a geometry-optimized Ti2Ge2Bi structure at the GGA-PBE level of DFT.

DOS(E_F) (states/eV/f.u.): 5.1
Total magnetic moment (μB per formula unit): 1.248
Volume (Å³/f.u.): 97

Lattice parameters (Å, degrees): 7.431 7.431 3.513 90.00 90.00 90.00
Atoms (fractional coordinates):
Ti 0.159 0.341 0.000
Ti 0.341 0.841 0.000
Ti 0.659 0.159 0.000
Ti 0.841 0.659 0.000
Ge 0.127 0.627 0.500
Ge 0.373 0.127 0.500
Ge 0.627 0.873 0.500
Ge 0.873 0.373 0.500
Bi 0.000 0.000 0.500
Bi 0.500 0.500 0.500

---

Model b:
Computed, not measured: a geometry-optimized Ti2Ge2Bi structure at the GGA-PBE level of DFT.

DOS(E_F) (states/eV/f.u.): 2.9
Total magnetic moment (μB per formula unit): 0.000
Volume (Å³/f.u.): 96

Lattice parameters (Å, degrees): 7.280 7.280 3.619 90.00 90.00 90.00
Atoms (fractional coordinates):
Ti 0.148 0.352 0.000
Ti 0.352 0.852 0.000
Ti 0.648 0.148 0.000
Ti 0.852 0.648 0.000
Ge 0.143 0.643 0.500
Ge 0.357 0.143 0.500
Ge 0.643 0.857 0.500
Ge 0.857 0.357 0.500
Bi 0.000 0.000 0.000
Bi 0.500 0.500 0.000

---

Winner for stability: model b

---

Model a:
Computed, not measured: a geometry-optimized Ti3GeBi structure at the GGA-PBE level of DFT.

DOS(E_F) (states/eV/f.u.): 4.9
Total magnetic moment (μB per formula unit): 0.000
Volume (Å³/f.u.): 96

Lattice parameters (Å, degrees): 8.269 8.269 5.671 94.90 94.90 92.71
Atoms (fractional coordinates):
Ti 0.058 0.684 0.953
Ti 0.157 0.526 0.383
Ti 0.247 0.385 0.889
Ti 0.316 0.942 0.547
Ti 0.385 0.247 0.389
Ti 0.474 0.843 0.117
Ti 0.526 0.157 0.883
Ti 0.615 0.753 0.611
Ti 0.684 0.058 0.453
Ti 0.753 0.615 0.111
Ti 0.843 0.474 0.617
Ti 0.942 0.316 0.047
Ge 0.326 0.674 0.750
Ge 0.455 0.545 0.250
Ge 0.545 0.455 0.750
Ge 0.674 0.326 0.250
Bi 0.041 0.208 0.520
Bi 0.208 0.041 0.020
Bi 0.792 0.959 0.980
Bi 0.959 0.792 0.480

---

Model b:
Computed, not measured: a geometry-optimized Ti3GeBi structure at the GGA-PBE level of DFT.

DOS(E_F) (states/eV/f.u.): 6.8
Total magnetic moment (μB per formula unit): 0.000
Volume (Å³/f.u.): 109

Lattice parameters (Å, degrees): 4.772 4.772 4.772 90.00 90.00 90.00
Atoms (fractional coordinates):
Ti 0.000 0.000 0.500
Ti 0.000 0.500 0.000
Ti 0.500 0.000 0.000
Ge 0.000 0.000 0.000
Bi 0.500 0.500 0.500

---

Model c:
Computed, not measured: a geometry-optimized Ti3GeBi structure at the GGA-PBE level of DFT.

DOS(E_F) (states/eV/f.u.): 7.2
Total magnetic moment (μB per formula unit): 4.863
Volume (Å³/f.u.): 138

Lattice parameters (Å, degrees): 5.171 5.171 5.171 90.00 90.00 90.00
Atoms (fractional coordinates):
Ti 0.000 0.000 0.500
Ti 0.000 0.500 0.000
Ti 0.500 0.000 0.000
Ge 0.500 0.500 0.500
Bi 0.000 0.000 0.000

---

Winner for stability: model a

---

Model a:
Computed, not measured: a geometry-optimized Ti2GeBi structure at the GGA-PBE level of DFT.

DOS(E_F) (states/eV/f.u.): 4.5
Total magnetic moment (μB per formula unit): 0.000
Volume (Å³/f.u.): 77

Lattice parameters (Å, degrees): 4.768 4.768 4.768 60.00 60.00 60.00
Atoms (fractional coordinates):
Ti 0.250 0.250 0.250
Ti 0.750 0.750 0.750
Ge 0.000 0.000 0.000
Bi 0.500 0.500 0.500

---

Model b:
Computed, not measured: a geometry-optimized Ti2GeBi structure at the GGA-PBE level of DFT.

DOS(E_F) (states/eV/f.u.): 4.3
Total magnetic moment (μB per formula unit): 0.000
Volume (Å³/f.u.): 113

Lattice parameters (Å, degrees): 7.563 7.563 7.563 133.07 133.07 68.54
Atoms (fractional coordinates):
Ti 0.080 0.625 0.955
Ti 0.375 0.330 0.455
Ti 0.670 0.125 0.045
Ti 0.875 0.920 0.545
Ge 0.000 0.000 0.000
Ge 0.750 0.250 0.500
Bi 0.250 0.750 0.500
Bi 0.500 0.500 0.000

---

Winner for stability: model a

---

Model a:
Computed, not measured: a geometry-optimized TiGeBi3 structure at the GGA-PBE level of DFT.

DOS(E_F) (states/eV/f.u.): 4.4
Total magnetic moment (μB per formula unit): 0.000
Volume (Å³/f.u.): 158

Lattice parameters (Å, degrees): 5.403 5.403 5.403 90.00 90.00 90.00
Atoms (fractional coordinates):
Ti 0.000 0.000 0.000
Ge 0.500 0.500 0.500
Bi 0.000 0.000 0.500
Bi 0.000 0.500 0.000
Bi 0.500 0.000 0.000

---

Model b:
Computed, not measured: a geometry-optimized TiGeBi3 structure at the GGA-PBE level of DFT.

DOS(E_F) (states/eV/f.u.): 7.5
Total magnetic moment (μB per formula unit): 0.005
Volume (Å³/f.u.): 161

Lattice parameters (Å, degrees): 5.440 5.440 5.440 90.00 90.00 90.00
Atoms (fractional coordinates):
Ti 0.000 0.000 0.000
Ge 0.500 0.500 0.500
Bi 0.000 0.500 0.500
Bi 0.500 0.000 0.500
Bi 0.500 0.500 0.000

---

Winner for stability: model a

---

Model a:
Computed, not measured: a geometry-optimized Tl2GeBi2 structure at the GGA-PBE level of DFT.

DOS(E_F) (states/eV/f.u.): 2.3
Total magnetic moment (μB per formula unit): 0.000
Volume (Å³/f.u.): 160

Lattice parameters (Å, degrees): 9.280 9.280 9.280 153.36 153.36 38.03
Atoms (fractional coordinates):
Tl 0.250 0.750 0.500
Tl 0.750 0.250 0.500
Ge 0.000 0.000 0.000
Bi 0.415 0.415 0.000
Bi 0.585 0.585 0.000

---

Model b:
Computed, not measured: a geometry-optimized Tl2GeBi2 structure at the GGA-PBE level of DFT.

DOS(E_F) (states/eV/f.u.): 1.4
Total magnetic moment (μB per formula unit): 0.000
Volume (Å³/f.u.): 165

Lattice parameters (Å, degrees): 7.791 7.791 5.448 90.00 90.00 90.00
Atoms (fractional coordinates):
Tl 0.174 0.326 0.000
Tl 0.326 0.826 0.000
Tl 0.674 0.174 0.000
Tl 0.826 0.674 0.000
Ge 0.000 0.000 0.500
Ge 0.500 0.500 0.500
Bi 0.140 0.640 0.500
Bi 0.360 0.140 0.500
Bi 0.640 0.860 0.500
Bi 0.860 0.360 0.500

---

Model c:
Computed, not measured: a geometry-optimized Tl2GeBi2 structure at the GGA-PBE level of DFT.

DOS(E_F) (states/eV/f.u.): 1.8
Total magnetic moment (μB per formula unit): 0.000
Volume (Å³/f.u.): 156

Lattice parameters (Å, degrees): 7.790 7.790 5.126 90.00 90.00 90.00
Atoms (fractional coordinates):
Tl 0.156 0.344 0.000
Tl 0.344 0.844 0.000
Tl 0.656 0.156 0.000
Tl 0.844 0.656 0.000
Ge 0.000 0.000 0.000
Ge 0.500 0.500 0.000
Bi 0.144 0.644 0.500
Bi 0.356 0.144 0.500
Bi 0.644 0.856 0.500
Bi 0.856 0.356 0.500

---

Winner for stability: model b